PrZnGa (PBE, relaxed); space-group type = I4mm, No. 107; crystal system = tetragonal; energy of formation = -148 meV per atom
1.0
4.1010 0.0000 0.0000
0.0000 4.1010 0.0000
-2.0505 -2.0505 4.3386
Pr Zn Ga
1 1 1
direct
0.2845 0.2845 0.5689
0.6275 0.6275 0.2551
0.9380 0.9380 0.8760

---

Pr2ScO (PBE, relaxed); space-group type = R-3m, No. 166; crystal system = trigonal; formation energy without anion corrections = -4.2 eV/f.u.
1.0
3.5916 0.0000 0.0000
1.7958 3.1104 0.0000
1.7958 1.0368 9.1421
Pr Sc O
2 1 1
direct
0.1151 0.1151 0.6546
0.8849 0.8849 0.3454
0.0000 0.0000 0.0000
0.5000 0.5000 0.5000

---

Pr12Au3C5 (PBE, relaxed); space-group type = Ia-3d, No. 230; crystal system = cubic; energy of formation = -99 meV per atom
1.0
-6.8758 12.2640 1.8102
-2.6395 -8.5632 10.9847
13.9346 2.4718 -0.8229
Pr C Au
48 20 12
direct
0.6163 0.0230 0.2043
0.5880 0.7043 0.6813
0.7957 0.4770 0.3837
0.7043 0.1163 0.0230
0.5933 0.6163 0.4120
0.7957 0.3187 0.9120
0.5880 0.8837 0.4067
0.8187 0.9067 0.0230
0.3187 0.7957 0.4120
0.6163 0.5933 0.9120
0.8837 0.2957 0.4770
0.0880 0.1813 0.2043
0.0230 0.6163 0.7043
0.4770 0.6813 0.0933
0.0933 0.1813 0.4770
0.4067 0.0230 0.3187
0.0933 0.9120 0.1163
0.2957 0.4120 0.8187
0.0880 0.9067 0.3837
0.0230 0.4067 0.8187
0.4770 0.7957 0.8837
0.3187 0.5230 0.4067
0.1813 0.0880 0.7043
0.8837 0.5880 0.9067
0.6813 0.4770 0.5933
0.8187 0.9120 0.2957
0.1163 0.4120 0.0933
0.9120 0.0933 0.6163
0.5230 0.2043 0.1163
0.9770 0.5933 0.1813
0.7043 0.5880 0.1813
0.5933 0.9770 0.6813
0.9067 0.0880 0.8837
0.9067 0.8187 0.5230
0.9770 0.3837 0.2957
0.9120 0.8187 0.7957
0.5230 0.3187 0.9067
0.6813 0.2043 0.5880
0.3837 0.4067 0.0880
0.1163 0.7043 0.5230
0.1813 0.0933 0.9770
0.4120 0.1163 0.5933
0.2957 0.8837 0.9770
0.2043 0.6813 0.0880
0.4067 0.3837 0.5880
0.2043 0.5230 0.6163
0.4120 0.2957 0.3187
0.3837 0.9770 0.7957
0.1250 0.3750 0.2500
0.0000 0.5000 0.0000
0.0000 0.0000 0.0000
0.3750 0.2500 0.1250
0.5000 0.0000 0.5000
0.5000 0.5000 0.0000
0.1250 0.7500 0.3750
0.7500 0.1250 0.8750
0.7500 0.6250 0.3750
0.3750 0.1250 0.7500
0.6250 0.8750 0.2500
0.5000 0.5000 0.5000
0.5000 0.0000 0.0000
0.0000 0.0000 0.5000
0.2500 0.3750 0.6250
0.2500 0.8750 0.1250
0.0000 0.5000 0.5000
0.8750 0.2500 0.6250
0.6250 0.7500 0.8750
0.8750 0.6250 0.7500
0.7500 0.3750 0.1250
0.8750 0.7500 0.1250
0.3750 0.7500 0.6250
0.2500 0.1250 0.3750
0.8750 0.1250 0.2500
0.3750 0.6250 0.2500
0.6250 0.3750 0.7500
0.1250 0.8750 0.7500
0.7500 0.8750 0.6250
0.6250 0.2500 0.3750
0.1250 0.2500 0.8750
0.2500 0.6250 0.8750

---

TlCd5 (PBE, relaxed); space-group type = P4/mmm, No. 123; crystal system = tetragonal; energy of formation = 24 meV per atom; ΔE to the lowest computed polymorph = 0.4 kJ per mole of atoms
1.0
-1.7245 2.6007 -0.9760
-1.6756 -1.8901 -2.0760
-9.1457 -2.4553 9.6171
Cd Tl
5 1
direct
0.0000 0.0000 0.0168
0.5000 0.5000 0.1765
0.0000 0.0000 0.3333
0.5000 0.5000 0.4902
0.0000 0.0000 0.6499
0.5000 0.5000 0.8333

---

| no. | energy (eV/atom) |
| --- | --- |
| 1 | -3.17 |
| 2 | -6.25 |
| 3 | -5.76 |
| 4 | -1.13 |